Entry from the Alexandria database: a relaxed structure of Li3ZnRe (PBE-GGA).

energy relative to the elements = 1.17 eV per atom
offset from the most stable computed form = 0.000 eV/atom
SG = No. 221

Structure (extended XYZ):
```
5
Lattice="-0.580 4.064 1.005 -3.585 0.041 -2.238 -2.162 -1.160 3.442" Properties=species:S:1:pos:R:3 pbc="T T T"
Li -1.793 0.021 -1.119
Li -0.290 2.032 0.502
Li -1.081 -0.580 1.721
Zn 0.000 0.000 0.000
Re -3.164 1.473 1.105
```


Entry from the Alexandria database: a relaxed structure of LiAgMo2 (PBE-GGA).

energy relative to the elements = 0.47 eV per atom
offset from the most stable computed form = 0.269 eV/atom
SG = No. 65

Structure (extended XYZ):
```
4
Lattice="2.622 0.015 0.000 -0.717 2.522 0.000 0.000 0.000 9.705" Properties=species:S:1:pos:R:3 pbc="T T T"
Li 0.953 1.269 7.279
Mo 0.000 0.000 9.677
Mo 0.000 0.000 4.880
Ag 0.953 1.269 2.426
```


Entry from the Alexandria database: a relaxed structure of BeNbO2 (PBE-GGA).

formation energy without anion corrections = -1729.3 meV per atom
SG = No. 166

Structure (extended XYZ):
```
4
Lattice="-0.887 5.852 -1.519 -1.108 5.853 1.364 1.499 5.923 0.114" Properties=species:S:1:pos:R:3 pbc="T T T"
O -0.455 16.169 -0.037
O -0.041 1.459 -0.003
Nb -0.248 8.814 -0.020
Be 0.000 0.000 0.000
```


Entry from the Alexandria database: a relaxed structure of Tb3ErTm3S8 (PBE-GGA).

formation energy without anion corrections = -2038.6 meV per atom
SG = No. 166

Structure (extended XYZ):
```
15
Lattice="-6.671 3.738 -1.199 0.272 -5.939 4.956 3.439 6.719 1.819" Properties=species:S:1:pos:R:3 pbc="T T T"
S 1.029 2.970 3.534
S 1.164 0.031 5.986
S -3.990 1.549 2.043
S -0.823 2.638 0.184
S -2.137 1.881 5.393
S -2.299 4.843 2.908
S -0.662 -0.325 2.669
S -4.124 4.488 -0.409
Tb 0.136 -2.970 2.478
Tb 0.000 0.000 0.000
Tb -3.200 -1.101 1.879
Tm 1.855 0.390 3.388
Tm -1.616 5.229 0.310
Tm -1.480 2.259 2.789
Er 1.719 3.360 0.910
```


Entry from the Alexandria database: a relaxed structure of MgOsRu4 (PBE-GGA).

energy relative to the elements = 0.48 eV per atom
SG = No. 216

Structure (extended XYZ):
```
6
Lattice="0.000 3.580 3.580 3.580 0.000 3.580 3.580 3.580 0.000" Properties=species:S:1:pos:R:3 pbc="T T T"
Os 0.000 0.000 0.000
Ru 2.686 4.474 4.474
Ru 4.474 2.686 4.474
Ru 4.474 4.474 2.686
Ru 2.686 2.686 2.686
Mg 5.371 5.371 5.371
```


Entry from the Alexandria database: a relaxed structure of LaCr2Ru (PBE-GGA).

energy relative to the elements = 0.61 eV per atom
offset from the most stable computed form = 0.296 eV/atom
SG = No. 225

Structure (extended XYZ):
```
4
Lattice="0.000 3.168 3.168 3.168 0.000 3.168 3.168 3.168 0.000" Properties=species:S:1:pos:R:3 pbc="T T T"
Cr 1.584 1.584 1.584
Cr 4.752 4.752 4.752
La 3.168 3.168 3.168
Ru 0.000 0.000 0.000
```


Entry from the Alexandria database: a relaxed structure of BaMn2Ir (PBE-GGA).

energy relative to the elements = 0.80 eV per atom
SG = No. 12

Structure (extended XYZ):
```
4
Lattice="-5.036 2.876 4.021 2.678 -3.860 1.315 0.913 1.590 2.790" Properties=species:S:1:pos:R:3 pbc="T T T"
Ir -1.179 -0.492 2.668
Mn -2.061 2.233 3.406
Mn 0.000 0.000 0.000
Ba 1.796 -1.135 2.052
```


Entry from the Alexandria database: a relaxed structure of LaZnAs3 (PBE-GGA).

energy relative to the elements = 0.70 eV per atom
offset from the most stable computed form = 0.944 eV/atom
SG = No. 221

Structure (extended XYZ):
```
5
Lattice="-5.047 2.026 -1.693 -2.640 -3.880 3.226 -0.006 3.643 4.377" Properties=species:S:1:pos:R:3 pbc="T T T"
As -2.523 1.013 -0.846
As -1.320 -1.940 1.613
As -0.003 1.822 2.189
La 0.000 0.000 0.000
Zn -3.846 0.894 2.956
```


| no. | magnetization (μB/cell) | DOS at the Fermi energy (states/eV/atom) |
| --- | --- | --- |
| 1 | 0.00 | 0.72 |
| 2 | 0.00 | 0.80 |
| 3 | 0.00 | 0.34 |
| 4 | 0.00 | 0.41 |
| 5 | 0.00 | 1.26 |
| 6 | 0.00 | 0.84 |
| 7 | 7.79 | 0.69 |
| 8 | 0.00 | 1.02 |